Compound: PmPuGaAu
Source: Alexandria
Functional: PBE
Structure: optimized geometry

## Properties
Energy relative to the elements ... -1.8 eV/f.u.

Cell: 5.1882 5.1882 5.1882 Å, 60.00 60.00 60.00°
Last column: nearest neighbours and their distance in Å.
Element x y z (fractional)
Pu  0.0000  0.0000  0.0000  4 Au 3.18, 4 Ga 3.18
Ga  0.2500  0.2500  0.2500  4 Pm 3.18, 4 Pu 3.18
Pm  0.5000  0.5000  0.5000  4 Ga 3.18, 4 Au 3.18
Au  0.7500  0.7500  0.7500  4 Pm 3.18, 4 Pu 3.18

Compound: Cs4OF3
Source: Alexandria
Functional: PBE
Structure: optimized geometry

## Properties
Formation energy without anion corrections ... -2135.2 meV per atom

Cell: 4.3892 7.4254 7.4254 Å, 107.29 90.00 90.00°
Last column: nearest neighbours and their distance in Å.
Element x y z (fractional)
Cs  0.0000  0.2613  0.2613  4 F 2.99-3.04, 2 O 3.18
Cs  0.5000  0.7574  0.2426  1 O 2.90, 5 F 3.08-3.11
Cs  0.5000  0.2426  0.7574  1 O 2.90, 5 F 3.08-3.11
Cs  0.0000  0.7387  0.7387  4 F 2.99-3.04, 2 O 3.18
O  0.5000  0.0000  0.0000  6 Cs 2.90-3.18
F  0.5000  0.5000  0.5000  6 Cs 3.04-3.08
F  0.0000  0.5000  0.0000  6 Cs 2.99-3.11
F  0.0000  0.0000  0.5000  6 Cs 2.99-3.11

Compound: TaIn2W
Source: Alexandria
Functional: PBE
Structure: optimized geometry

## Properties
Energy relative to the elements ... 1.8 eV/f.u.
Relative energy among the computed polymorphs ... 134 meV/atom

Cell: 3.4707 4.6856 4.6968 Å, 90.00 90.00 90.00°
Last column: nearest neighbours and their distance in Å.
Element x y z (fractional)
W  0.0000  0.5000  0.5000  4 Ta 2.92, 4 In 2.92
In  0.5000  0.5000  0.0000  4 In 2.92, 4 W 2.92
In  0.0000  0.0000  0.0000  4 In 2.92, 4 Ta 2.92
Ta  0.5000  0.0000  0.5000  4 W 2.92, 4 In 2.92

Compound: Hf3TiNb
Source: Alexandria
Functional: PBE
Structure: optimized geometry

## Properties
Energy relative to the elements ... 5.3 eV/f.u.
Relative energy among the computed polymorphs ... 0 meV/atom

Cell: 4.8373 4.8373 4.8373 Å, 90.00 90.00 90.00°
Last column: nearest neighbours and their distance in Å.
Element x y z (fractional)
Hf  0.0000  0.0000  0.5000  2 Ti 2.42
Hf  0.0000  0.5000  0.0000  2 Ti 2.42
Hf  0.5000  0.0000  0.0000  2 Ti 2.42
Nb  0.5000  0.5000  0.5000  12 Hf 3.42
Ti  0.0000  0.0000  0.0000  6 Hf 2.42

Compound: PuScZnOs
Source: Alexandria
Functional: PBE
Structure: optimized geometry

## Properties
Energy relative to the elements ... -0.6 eV/f.u.

Cell: 4.7646 4.7646 4.7646 Å, 60.00 60.00 60.00°
Last column: nearest neighbours and their distance in Å.
Element x y z (fractional)
Os  0.7500  0.7500  0.7500  4 Pu 2.92, 4 Sc 2.92
Sc  0.0000  0.0000  0.0000  4 Zn 2.92, 4 Os 2.92
Zn  0.2500  0.2500  0.2500  4 Sc 2.92, 4 Pu 2.92
Pu  0.5000  0.5000  0.5000  4 Os 2.92, 4 Zn 2.92

Compound: Tl2CrTc
Source: Alexandria
Functional: PBE
Structure: optimized geometry

## Properties
Energy relative to the elements ... 2.1 eV/f.u.
Relative energy among the computed polymorphs ... 113 meV/atom

Cell: 9.4239 9.4239 9.4239 Å, 19.54 19.54 19.54°
Last column: nearest neighbours and their distance in Å.
Element x y z (fractional)
Tl  0.0085  0.0085  0.0085  3 Tc 3.14, 9 Tl 3.20-3.39
Tl  0.2394  0.2394  0.2394  3 Cr 3.05, 9 Tl 3.20-3.39
Cr  0.4851  0.4851  0.4851  3 Tc 2.33
Tc  0.7670  0.7670  0.7670  3 Cr 2.33

Compound: LaIrF
Source: Alexandria
Functional: PBE
Structure: optimized geometry

## Properties
Formation energy without anion corrections ... -1686.0 meV per atom

Cell: 3.4063 4.7393 8.0988 Å, 107.01 102.14 90.00°
Last column: nearest neighbours and their distance in Å.
Element x y z (fractional)
Ir  0.2459  0.2459  0.4917  2 La 2.74, 4 Ir 2.92
Ir  0.7541  0.7541  0.5083  2 La 2.74, 4 Ir 2.92
La  0.8882  0.3882  0.7764  4 F 2.67, 2 Ir 2.74
La  0.1118  0.6118  0.2236  4 F 2.67, 2 Ir 2.74
F  0.5000  0.2538  0.0000  2 F 2.33-2.41
F  0.5000  0.7462  0.0000  2 F 2.33-2.41

Compound: CsGe2Sb2
Source: Alexandria
Functional: PBE
Structure: optimized geometry

## Properties
Formation energy without anion corrections ... -57.8 meV per atom
Relative energy among the computed polymorphs ... 71 meV/atom

Cell: 7.7839 7.8795 7.6699 Å, 72.28 56.83 64.30°
Last column: nearest neighbours and their distance in Å.
Element x y z (fractional)
Ge  0.2168  0.0452  0.2328  4 Sb 2.76-3.08
Ge  0.7832  0.9548  0.7672  4 Sb 2.76-3.08
Ge  0.4934  0.4767  0.7621  4 Sb 2.76-3.00
Ge  0.5066  0.5233  0.2379  4 Sb 2.76-3.00
Sb  0.4990  0.2338  0.1068  4 Ge 2.76-3.08
Sb  0.2332  0.7613  0.5570  4 Ge 2.77-3.00
Sb  0.5010  0.7662  0.8932  4 Ge 2.76-3.08
Sb  0.7668  0.2387  0.4430  4 Ge 2.77-3.00
Cs  0.8953  0.7330  0.2547  7 Ge 4.01-4.29, 9 Sb 4.04-4.47
Cs  0.1047  0.2670  0.7453  7 Ge 4.01-4.29, 9 Sb 4.04-4.47

Calculated uncorrected energy in order - -6.790 -3.884 -7.118 -8.496 -8.446 -5.651 -6.906 -3.724 eV per atom